Density functional theory data (PBE-GGA) for a relaxed Li2AlSi3Pt4 crystal.

Final energy (eV/cell): -55.36
Formation energy (no corrections) (meV/atom): -735
DOS(E_F) (states/eV per cell): 3.3

Cell lengths 3.9550, 3.9550, 10.5633 Å; angles 90.00, 90.00, 90.00 degrees
Space group P-4m2 (No. 115)
Symmetry-distinct sites (fractional):
Li  0.0000  0.5000  0.2468 (multiplicity 2)
Al  0.0000  0.0000  0.5000 (multiplicity 1)
Si  0.0000  0.5000  0.8622 (multiplicity 2)
Si  0.5000  0.5000  0.5000 (multiplicity 1)
Pt  0.0000  0.0000  0.0000 (multiplicity 1)
Pt  0.0000  0.5000  0.6407 (multiplicity 2)
Pt  0.5000  0.5000  0.0000 (multiplicity 1)